# 1
## LiAg3Sn2 (PBE)

Data for crystalline LiAg3Sn2 at its relaxed geometry.

Output
Its energy above the most stable polymorph in this dataset is 34 meV per atom. The value obtained for the formation energy is -66 meV/atom. Its space group is P-1, No. 2. Its crystal system is triclinic.

Lattice parameters (Å, degrees): 6.0030 5.5817 10.5982 67.89 47.54 73.50
Atoms (fractional coordinates):
Ag  0.8456  0.2315  0.0774
Ag  0.5001  0.7500  0.2500
Ag  0.4999  0.2500  0.7500
Ag  0.1544  0.7685  0.9226
Ag  0.1544  0.2686  0.4226
Ag  0.8456  0.7314  0.5774
Li  0.0000  0.2500  0.7500
Li  0.0000  0.7500  0.2500
Sn  0.3383  0.7452  0.5819
Sn  0.6616  0.7549  0.9181
Sn  0.3384  0.2451  0.0819
Sn  0.6617  0.2548  0.4181

# 2
## AcNiTe (PBE)

Data for crystalline AcNiTe at its relaxed geometry.

Output
Its energy above the most stable polymorph in this dataset is 204 meV per atom. The calculation puts the formation energy (no corrections) at -676 meV per atom. Its space group is F-43m, No. 216. Its crystal system is cubic.

Lattice parameters (Å, degrees): 4.8340 4.8340 4.8340 60.00 60.00 60.00
Atoms (fractional coordinates):
Ni  0.2500  0.2500  0.2500
Ac  0.5000  0.5000  0.5000
Te  0.0000  0.0000  0.0000

# 3
## Zr2VCl (PBE)

Data for crystalline Zr2VCl at its relaxed geometry.

Output
Its energy above the most stable polymorph in this dataset is 164 meV per atom. The calculation puts the formation energy (no corrections) at 539 meV per atom. Its space group is I-42d, No. 122. Its crystal system is tetragonal.

Lattice parameters (Å, degrees): 4.1060 4.1060 10.3465 78.56 78.56 90.00
Atoms (fractional coordinates):
Cl  0.2500  0.7500  0.5000
Cl  0.5000  0.5000  0.0000
V  0.0000  0.0000  0.0000
V  0.7500  0.2500  0.5000
Zr  0.1285  0.6250  0.2500
Zr  0.6215  0.1250  0.2500
Zr  0.3750  0.3785  0.7500
Zr  0.8750  0.8715  0.7500

# 4
## LaOs2Rh (PBE)

Data for crystalline LaOs2Rh at its relaxed geometry.

Output
Its energy above the most stable polymorph in this dataset is 0 meV per atom. The value obtained for the formation energy is 177 meV/atom. Its space group is Pmm2, No. 25. Its crystal system is orthorhombic.

Lattice parameters (Å, degrees): 2.8648 3.6955 6.9640 90.00 90.00 90.00
Atoms (fractional coordinates):
Rh  0.0000  0.0000  0.4552
La  0.5000  0.5000  0.7401
Os  0.0000  0.0000  0.0714
Os  0.5000  0.5000  0.2332

# 5
## Mg3GaPd (PBE)

Data for crystalline Mg3GaPd at its relaxed geometry.

Output
Its energy above the most stable polymorph in this dataset is 0 meV per atom. The value obtained for the formation energy is -392 meV/atom. Its space group is Pmmn, No. 59. Its crystal system is orthorhombic.

Lattice parameters (Å, degrees): 4.4931 5.3904 7.9598 90.00 90.00 90.00
Atoms (fractional coordinates):
Mg  0.7500  0.7423  0.2500
Mg  0.2500  0.2577  0.7500
Mg  0.2500  0.7725  0.5569
Mg  0.7500  0.2275  0.0569
Mg  0.2500  0.7725  0.9431
Mg  0.7500  0.2275  0.4431
Ga  0.7500  0.5335  0.7500
Ga  0.2500  0.4665  0.2500
Pd  0.2500  0.9992  0.2500
Pd  0.7500  0.0008  0.7500

# 6
## Y2CoNi3Ge4 (PBE)

Data for crystalline Y2CoNi3Ge4 at its relaxed geometry.

Output
The value obtained for the formation energy is -667 meV/atom. Its space group is P-4m2, No. 115. Its crystal system is tetragonal.

Lattice parameters (Å, degrees): 4.0633 4.0633 9.7535 90.00 90.00 90.00
Atoms (fractional coordinates):
Ge  0.0000  0.5000  0.3707
Ge  0.5000  0.5000  0.0000
Ge  0.5000  0.0000  0.6293
Ge  0.0000  0.0000  0.0000
Co  0.5000  0.5000  0.5000
Y  0.5000  0.0000  0.2510
Y  0.0000  0.5000  0.7490
Ni  0.5000  0.0000  0.8709
Ni  0.0000  0.0000  0.5000
Ni  0.0000  0.5000  0.1291

# 7
## TaFeAg (PBE)

Data for crystalline TaFeAg at its relaxed geometry.

Output
Its energy above the most stable polymorph in this dataset is 24 meV per atom. The value obtained for the formation energy is 261 meV/atom. Its space group is Fmm2, No. 42. Its crystal system is orthorhombic.

Lattice parameters (Å, degrees): 6.8585 6.7226 2.7578 81.06 75.53 23.40
Atoms (fractional coordinates):
Ag  0.0065  0.0065  0.9935
Ta  0.3225  0.3225  0.6775
Fe  0.6710  0.6710  0.3290

# 8
## LaNb2RuW (PBE)

Data for crystalline LaNb2RuW at its relaxed geometry.

Output
The value obtained for the formation energy is 2230 meV/atom. Its space group is P4/mmm, No. 123. Its crystal system is tetragonal.

Lattice parameters (Å, degrees): 4.8657 4.5835 4.8657 90.00 90.00 90.00
Atoms (fractional coordinates):
Nb  0.5000  0.0000  0.0000
Nb  0.0000  0.0000  0.5000
Ru  0.0000  0.5000  0.0000
La  0.0000  0.0000  0.0000
W  0.5000  0.5000  0.5000

# 9
## SmMgZnSn (PBE)

Data for crystalline SmMgZnSn at its relaxed geometry.

Output
Its energy above the most stable polymorph in this dataset is 0 meV per atom. The value obtained for the formation energy is -425 meV/atom. Its space group is Pmmm, No. 47. Its crystal system is orthorhombic.

Lattice parameters (Å, degrees): 4.3650 4.5738 4.6698 90.00 90.00 90.00
Atoms (fractional coordinates):
Sn  0.0000  0.0000  0.0000
Mg  0.5000  0.0000  0.5000
Zn  0.0000  0.5000  0.5000
Sm  0.5000  0.5000  0.0000

# 10
## B2PdBr8 (PBE)

Data for crystalline B2PdBr8 at its relaxed geometry.

Output
The calculation puts the formation energy (no corrections) at -411 meV per atom. Its space group is C2/m, No. 12. Its crystal system is monoclinic.

Lattice parameters (Å, degrees): 7.6919 6.8679 7.6919 93.82 82.69 93.82
Atoms (fractional coordinates):
Br  0.7161  0.8120  0.0298
Br  0.6155  0.7927  0.6155
Br  0.3845  0.2073  0.3845
Br  0.2839  0.1880  0.9702
Br  0.9702  0.1880  0.2839
Br  0.0298  0.8120  0.7161
Br  0.7668  0.4040  0.7668
Br  0.2332  0.5960  0.2332
B  0.2312  0.3097  0.2312
B  0.7688  0.6903  0.7688
Pd  0.0000  0.0000  0.0000

# 11
## LiHf2Fe (PBE)

Data for crystalline LiHf2Fe at its relaxed geometry.

Output
The value obtained for the formation energy is 432 meV/atom. Its space group is I-42d, No. 122. Its crystal system is tetragonal.

Lattice parameters (Å, degrees): 7.0484 7.0484 5.7455 52.16 52.16 90.00
Atoms (fractional coordinates):
Hf  0.0966  0.6250  0.2500
Hf  0.3750  0.3466  0.7500
Hf  0.6534  0.1250  0.2500
Hf  0.8750  0.9034  0.7500
Li  0.5000  0.5000  0.0000
Li  0.2500  0.7500  0.5000
Fe  0.7500  0.2500  0.5000
Fe  0.0000  0.0000  0.0000

# 12
## Cs2Sm2PaTe6 (PBE)

Data for crystalline Cs2Sm2PaTe6 at its relaxed geometry.

Output
The calculation puts the formation energy (no corrections) at -1264 meV per atom. Its space group is C2/m, No. 12. Its crystal system is monoclinic.

Lattice parameters (Å, degrees): 7.8251 7.8251 9.5695 98.03 98.03 119.89
Atoms (fractional coordinates):
Te  0.2629  0.2629  0.3102
Te  0.6081  0.9332  0.3089
Te  0.9332  0.6081  0.3089
Te  0.3919  0.0668  0.6911
Te  0.0668  0.3919  0.6911
Te  0.7371  0.7371  0.6898
Cs  0.8315  0.1685  0.0000
Cs  0.1685  0.8315  0.0000
Sm  0.6673  0.3327  0.5000
Sm  0.3327  0.6673  0.5000
Pa  0.0000  0.0000  0.5000

# 13
## GaAs2SN (PBE)

Data for crystalline GaAs2SN at its relaxed geometry.

Output
The calculation puts the formation energy (no corrections) at 813 meV per atom. Its space group is P4/mmm, No. 123. Its crystal system is tetragonal.

Lattice parameters (Å, degrees): 4.3541 4.3626 4.3541 90.00 90.00 90.00
Atoms (fractional coordinates):
As  0.5000  0.0000  0.0000
As  0.0000  0.0000  0.5000
N  0.0000  0.0000  0.0000
S  0.0000  0.5000  0.0000
Ga  0.5000  0.5000  0.5000

# 14
## LuCuPt (PBE)

Data for crystalline LuCuPt at its relaxed geometry.

Output
Its energy above the most stable polymorph in this dataset is 0 meV per atom. The value obtained for the formation energy is -781 meV/atom. Its space group is P-6m2, No. 187. Its crystal system is hexagonal.

Lattice parameters (Å, degrees): 3.4320 4.3240 4.3240 120.00 90.00 90.00
Atoms (fractional coordinates):
Cu  0.1670  0.0000  0.0000
Lu  0.6668  0.6667  0.3333
Pt  0.1662  0.3333  0.6667

# 15
## Sr4LiCd5 (PBE)

Data for crystalline Sr4LiCd5 at its relaxed geometry.

Output
The value obtained for the formation energy is -287 meV/atom. Its space group is P4/mmm, No. 123. Its crystal system is tetragonal.

Lattice parameters (Å, degrees): 3.9071 3.9071 20.1858 90.00 90.00 90.00
Atoms (fractional coordinates):
Cd  0.5000  0.5000  0.0744
Cd  0.5000  0.5000  0.5000
Cd  0.5000  0.5000  0.2894
Cd  0.5000  0.5000  0.9256
Cd  0.5000  0.5000  0.7106
Sr  0.0000  0.0000  0.1847
Sr  0.0000  0.0000  0.8153
Sr  0.0000  0.0000  0.6052
Sr  0.0000  0.0000  0.3948
Li  0.0000  0.0000  0.0000